1.
3
Lattice="-1.382 0.411 2.252 -2.262 0.160 -1.417 1.035 -6.174 0.173" Properties=species:S:1:pos:R:3 comment="VReRh (GGA-PBE, relaxed)" total_energy_ev_per_atom=-9.80 total_magnetization_mub_per_atom=0.000 e_form_mev_per_atom=-157.7 dos_at_fermi_per_ev_cell=2.00 polymorph_energy_mev_per_atom=0 pbc="T T T"
Re -2.604 -5.563 1.004
Rh -0.523 -3.914 0.392
V -2.092 -1.730 0.620

=====

2.
6
Lattice="5.094 0.000 0.000 2.547 4.412 0.000 2.547 1.471 4.159" Properties=species:S:1:pos:R:3 comment="PmPuMn4 (GGA-PBE, relaxed)" total_energy_ev_per_atom=-9.01 total_magnetization_mub_per_atom=1.150 e_form_mev_per_atom=278.7 dos_at_fermi_per_ev_cell=6.68 pbc="T T T"
Pm 0.000 0.000 0.000
Mn 5.094 2.941 0.532
Mn 5.094 1.482 2.595
Mn 6.358 3.671 2.595
Mn 3.831 3.671 2.595
Pu 2.547 1.471 1.040

=====

3.
12
Lattice="-1.965 -0.001 3.348 3.597 -1.419 2.110 3.655 12.457 2.150" Properties=species:S:1:pos:R:3 comment="Zr3Zn2Ga (GGA-PBE, relaxed)" total_energy_ev_per_atom=-5.56 total_magnetization_mub_per_atom=0.000 e_form_mev_per_atom=-355.0 dos_at_fermi_per_ev_cell=9.48 pbc="T T T"
Zr 3.248 7.580 4.160
Zr 0.845 6.228 2.748
Zr 2.039 3.457 3.448
Zr -0.378 2.061 2.030
Zr 0.816 -0.710 2.730
Zr 2.067 10.395 3.468
Zn 0.485 8.348 4.789
Zn -0.760 4.107 4.057
Zn 2.420 1.411 1.421
Zn 4.831 9.627 2.839
Ga 1.661 5.518 5.477
Ga 0.000 0.000 0.001

=====

4.
4
Lattice="3.506 0.000 0.000 1.753 3.036 0.000 1.753 1.012 9.509" Properties=species:S:1:pos:R:3 comment="La2PuH (GGA-PBE, relaxed)" total_energy_ev_per_atom=-6.81 total_magnetization_mub_per_atom=1.556 dos_at_fermi_per_ev_cell=11.08 pbc="T T T"
H 3.506 2.024 4.754
La 1.753 1.012 6.317
La 5.258 3.036 3.192
Pu 0.000 0.000 0.000

=====

5.
5
Lattice="6.100 0.000 0.000 0.000 4.987 0.000 0.000 0.000 6.100" Properties=species:S:1:pos:R:3 comment="Ba2TiAlSe (GGA-PBE, relaxed)" total_energy_ev_per_atom=-3.64 total_magnetization_mub_per_atom=0.741 formation_energy_uncorrected_kj_per_mol_fu=75.9 dos_at_fermi_per_ev_cell=4.18 pbc="T T T"
Al 0.000 2.493 0.000
Ba 0.000 0.000 3.050
Ba 3.050 0.000 0.000
Se 3.050 2.493 3.050
Ti 0.000 0.000 0.000

=====

6.
10
Lattice="6.282 -0.115 0.000 -1.108 7.021 0.000 0.000 0.000 7.956" Properties=species:S:1:pos:R:3 comment="RhI4 (GGA-PBE, relaxed)" total_energy_ev_per_atom=-2.82 total_magnetization_mub_per_atom=0.000 formation_energy_uncorrected_kj_per_mol_fu=-53.3 dos_at_fermi_per_ev_cell=7.97 polymorph_energy_mev_per_atom=0 pbc="T T T"
Rh 2.310 5.208 5.005
Rh 2.864 1.698 2.950
I 0.681 6.253 3.088
I 3.939 4.163 3.088
I 1.236 2.557 1.025
I 4.492 0.839 1.025
I 3.938 4.349 6.931
I 0.682 6.068 6.931
I 1.235 2.743 4.867
I 4.493 0.653 4.867

=====

7.
9
Lattice="-3.548 -0.282 1.152 2.155 -3.052 -0.183 6.179 3.177 19.811" Properties=species:S:1:pos:R:3 comment="Tl5Hg2Au2 (GGA-PBE, relaxed)" total_energy_ev_per_atom=-2.10 total_magnetization_mub_per_atom=0.000 e_form_mev_per_atom=9.7 dos_at_fermi_per_ev_cell=3.31 polymorph_energy_mev_per_atom=9 pbc="T T T"
Tl 0.000 0.000 0.000
Tl 3.322 1.349 16.636
Tl 1.465 -1.506 4.144
Tl 1.047 0.180 9.342
Tl 3.740 -0.336 11.437
Hg 1.957 1.007 6.275
Hg 4.222 2.171 13.535
Au -1.032 -0.889 2.679
Au 5.818 0.733 18.101

=====

8.
5
Lattice="4.772 0.000 0.000 0.000 4.772 0.000 0.000 0.000 4.772" Properties=species:S:1:pos:R:3 comment="ScTi3H (GGA-PBE, relaxed)" total_energy_ev_per_atom=-4.82 total_magnetization_mub_per_atom=0.654 dos_at_fermi_per_ev_cell=5.23 polymorph_energy_mev_per_atom=1892 pbc="T T T"
Sc 0.000 0.000 0.000
H 2.386 2.386 2.386
Ti 0.000 2.386 0.000
Ti 0.000 0.000 2.386
Ti 2.386 0.000 0.000